NaNdSeO: relaxed, PBE.

The structure in CIF format:
```
data_NaNdSeO
_cell_length_a 4.1155
_cell_length_b 4.1155
_cell_length_c 9.6554
_cell_angle_alpha 90.00
_cell_angle_beta 90.00
_cell_angle_gamma 90.00
_space_group_name_H-M_alt 'P 1'
_space_group_IT_number 1
loop_
_space_group_symop_operation_xyz
'x,y,z'
loop_
_atom_site_label
_atom_site_fract_x
_atom_site_fract_y
_atom_site_fract_z
Na1 0.2500 0.7500 0.0000
Na2 0.7500 0.2500 0.0000
Nd1 0.2500 0.2500 0.3813
Nd2 0.7500 0.7500 0.6187
Se1 0.2500 0.2500 0.7985
Se2 0.7500 0.7500 0.2015
O1 0.2500 0.7500 0.5000
O2 0.7500 0.2500 0.5000
```

* V: 164 Å³/cell
* energy above the most stable polymorph in this dataset: 13 meV/atom